This record from Alexandria via LeMat-Bulk describes a relaxed TcPdRu2Au crystal. The functional is GGA-PBE.

extended XYZ file:
```
5
Lattice="4.733 0.000 0.000 0.000 4.733 0.000 0.000 0.000 4.923" Properties=species:S:1:pos:R:3 pbc="T T T"
Tc 0.000 0.000 0.000
Pd 2.367 2.367 2.462
Ru 0.000 2.367 2.462
Ru 2.367 0.000 2.462
Au 2.367 2.367 0.000
```

**Total magnetic moment**: 1.58 μB/atom
**Formation energy**: 2.07 eV per atom
**Total DFT energy (no corrections)**: -5.406 eV/atom
**Symmetry**: No. 123